No. 1
Computed, not measured: an optimized crystal structure of InSiAuC2 at the PBE-GGA level of DFT.

Cell and atoms, written as CIF:
```
data_InSiAuC2
_chemical_formula_sum 'In1 Si1 Au1 C2'
_cell_length_a 4.0146
_cell_length_b 4.0146
_cell_length_c 5.9754
_cell_angle_alpha 90.00
_cell_angle_beta 90.00
_cell_angle_gamma 90.00
_space_group_name_H-M_alt 'P 1'
_space_group_IT_number 1
_space_group_name_Hall 'P 1'
loop_
_atom_site_label
_atom_site_type_symbol
_atom_site_fract_x
_atom_site_fract_y
_atom_site_fract_z
_atom_site_occupancy
In1 In 0.0000 0.0000 0.0000 1
Si1 Si 0.5000 0.5000 0.0000 1
Au1 Au 0.0000 0.0000 0.5000 1
C1 C 0.0000 0.5000 0.5000 1
C2 C 0.5000 0.0000 0.5000 1
```

* total moment: 0.50 μB/f.u.
* SG: P4/mmm (123)
* formation energy without anion corrections: 2177 meV/atom
* Fermi-level density of states: 3.83 states/eV/cell


No. 2
Computed, not measured: an optimized crystal structure of InSn2AuC at the PBE-GGA level of DFT.

Cell and atoms, written as CIF:
```
data_InSn2AuC
_chemical_formula_sum 'In1 Sn2 Au1 C1'
_cell_length_a 5.2717
_cell_length_b 5.2717
_cell_length_c 4.0517
_cell_angle_alpha 90.00
_cell_angle_beta 90.00
_cell_angle_gamma 90.00
_space_group_name_H-M_alt 'P 1'
_space_group_IT_number 1
_space_group_name_Hall 'P 1'
loop_
_atom_site_label
_atom_site_type_symbol
_atom_site_fract_x
_atom_site_fract_y
_atom_site_fract_z
_atom_site_occupancy
In1 In 0.0000 0.0000 0.0000 1
Sn1 Sn 0.0000 0.5000 0.5000 1
Sn2 Sn 0.5000 0.0000 0.5000 1
Au1 Au 0.5000 0.5000 0.0000 1
C1 C 0.5000 0.5000 0.5000 1
```

* formation energy: 0.689 eV/atom
* total moment: 0.00 μB/f.u.
* SG: P4/mmm (123)
* Fermi-level density of states: 2.71 states/eV/cell


No. 3
Computed, not measured: an optimized crystal structure of TaInAu2C at the PBE-GGA level of DFT.

Cell and atoms, written as CIF:
```
data_TaInAu2C
_chemical_formula_sum 'Ta1 In1 Au2 C1'
_cell_length_a 5.0045
_cell_length_b 5.0045
_cell_length_c 5.3546
_cell_angle_alpha 90.00
_cell_angle_beta 90.00
_cell_angle_gamma 90.00
_space_group_name_H-M_alt 'P 1'
_space_group_IT_number 1
_space_group_name_Hall 'P 1'
loop_
_atom_site_label
_atom_site_type_symbol
_atom_site_fract_x
_atom_site_fract_y
_atom_site_fract_z
_atom_site_occupancy
Ta1 Ta 0.0000 0.0000 0.0000 1
In1 In 0.0000 0.0000 0.5000 1
Au1 Au 0.0000 0.5000 0.5000 1
Au2 Au 0.5000 0.0000 0.5000 1
C1 C 0.5000 0.5000 0.0000 1
```

* formation energy: 2.583 eV/atom
* total moment: 0.42 μB/f.u.
* SG: P4/mmm (123)
* Fermi-level density of states: 5.68 states/eV/cell


No. 4
Computed, not measured: an optimized crystal structure of IrAu3C at the PBE-GGA level of DFT.

Cell and atoms, written as CIF:
```
data_IrAu3C
_chemical_formula_sum 'Ir1 Au3 C1'
_cell_length_a 5.0449
_cell_length_b 5.0449
_cell_length_c 5.0449
_cell_angle_alpha 90.00
_cell_angle_beta 90.00
_cell_angle_gamma 90.00
_space_group_name_H-M_alt 'P 1'
_space_group_IT_number 1
_space_group_name_Hall 'P 1'
loop_
_atom_site_label
_atom_site_type_symbol
_atom_site_fract_x
_atom_site_fract_y
_atom_site_fract_z
_atom_site_occupancy
Ir1 Ir 0.0000 0.0000 0.0000 1
Au1 Au 0.0000 0.0000 0.5000 1
Au2 Au 0.0000 0.5000 0.0000 1
Au3 Au 0.5000 0.0000 0.0000 1
C1 C 0.5000 0.5000 0.5000 1
```

* formation energy: 2.412 eV/atom
* total moment: 1.58 μB/f.u.
* offset from the most stable computed form: 1324 meV per atom
* SG: Pm-3m (221)
* Fermi-level density of states: 7.54 states/eV/cell


No. 5
Computed, not measured: an optimized crystal structure of Ir3AuC at the PBE-GGA level of DFT.

Cell and atoms, written as CIF:
```
data_Ir3AuC
_chemical_formula_sum 'Ir3 Au1 C1'
_cell_length_a 4.1313
_cell_length_b 4.1313
_cell_length_c 4.1313
_cell_angle_alpha 90.00
_cell_angle_beta 90.00
_cell_angle_gamma 90.00
_space_group_name_H-M_alt 'P 1'
_space_group_IT_number 1
_space_group_name_Hall 'P 1'
loop_
_atom_site_label
_atom_site_type_symbol
_atom_site_fract_x
_atom_site_fract_y
_atom_site_fract_z
_atom_site_occupancy
Ir1 Ir 0.0000 0.0000 0.5000 1
Ir2 Ir 0.0000 0.5000 0.0000 1
Ir3 Ir 0.5000 0.0000 0.0000 1
Au1 Au 0.5000 0.5000 0.5000 1
C1 C 0.0000 0.0000 0.0000 1
```

* formation energy: 0.567 eV/atom
* total moment: 0.00 μB/f.u.
* offset from the most stable computed form: 0 meV per atom
* SG: Pm-3m (221)
* Fermi-level density of states: 4.84 states/eV/cell


No. 6
Computed, not measured: an optimized crystal structure of IrAu3C at the PBE-GGA level of DFT.

Cell and atoms, written as CIF:
```
data_IrAu3C
_chemical_formula_sum 'Ir1 Au3 C1'
_cell_length_a 4.2794
_cell_length_b 4.2794
_cell_length_c 4.2794
_cell_angle_alpha 90.00
_cell_angle_beta 90.00
_cell_angle_gamma 90.00
_space_group_name_H-M_alt 'P 1'
_space_group_IT_number 1
_space_group_name_Hall 'P 1'
loop_
_atom_site_label
_atom_site_type_symbol
_atom_site_fract_x
_atom_site_fract_y
_atom_site_fract_z
_atom_site_occupancy
Ir1 Ir 0.0000 0.0000 0.0000 1
Au1 Au 0.0000 0.5000 0.5000 1
Au2 Au 0.5000 0.0000 0.5000 1
Au3 Au 0.5000 0.5000 0.0000 1
C1 C 0.5000 0.5000 0.5000 1
```

* formation energy: 1.088 eV/atom
* total moment: 0.00 μB/f.u.
* offset from the most stable computed form: 0 meV per atom
* SG: Pm-3m (221)
* Fermi-level density of states: 4.77 states/eV/cell


No. 7
Computed, not measured: an optimized crystal structure of IrAuC3 at the PBE-GGA level of DFT.

Cell and atoms, written as CIF:
```
data_IrAuC3
_chemical_formula_sum 'Ir1 Au1 C3'
_cell_length_a 4.0224
_cell_length_b 4.0224
_cell_length_c 4.0224
_cell_angle_alpha 90.00
_cell_angle_beta 90.00
_cell_angle_gamma 90.00
_space_group_name_H-M_alt 'P 1'
_space_group_IT_number 1
_space_group_name_Hall 'P 1'
loop_
_atom_site_label
_atom_site_type_symbol
_atom_site_fract_x
_atom_site_fract_y
_atom_site_fract_z
_atom_site_occupancy
Ir1 Ir 0.0000 0.0000 0.0000 1
Au1 Au 0.5000 0.5000 0.5000 1
C1 C 0.0000 0.0000 0.5000 1
C2 C 0.0000 0.5000 0.0000 1
C3 C 0.5000 0.0000 0.0000 1
```

* formation energy: 2.220 eV/atom
* total moment: 0.00 μB/f.u.
* offset from the most stable computed form: 0 meV per atom
* SG: Pm-3m (221)
* Fermi-level density of states: 3.09 states/eV/cell


No. 8
Computed, not measured: an optimized crystal structure of IrAuC3 at the PBE-GGA level of DFT.

Cell and atoms, written as CIF:
```
data_IrAuC3
_chemical_formula_sum 'Ir1 Au1 C3'
_cell_length_a 4.0374
_cell_length_b 4.0374
_cell_length_c 4.0374
_cell_angle_alpha 90.00
_cell_angle_beta 90.00
_cell_angle_gamma 90.00
_space_group_name_H-M_alt 'P 1'
_space_group_IT_number 1
_space_group_name_Hall 'P 1'
loop_
_atom_site_label
_atom_site_type_symbol
_atom_site_fract_x
_atom_site_fract_y
_atom_site_fract_z
_atom_site_occupancy
Ir1 Ir 0.0000 0.0000 0.0000 1
Au1 Au 0.5000 0.5000 0.5000 1
C1 C 0.0000 0.5000 0.5000 1
C2 C 0.5000 0.0000 0.5000 1
C3 C 0.5000 0.5000 0.0000 1
```

* formation energy: 3.351 eV/atom
* total moment: 0.00 μB/f.u.
* offset from the most stable computed form: 1131 meV per atom
* SG: Pm-3m (221)
* Fermi-level density of states: 2.32 states/eV/cell


No. 9
Computed, not measured: an optimized crystal structure of Ir3AuC at the PBE-GGA level of DFT.

Cell and atoms, written as CIF:
```
data_Ir3AuC
_chemical_formula_sum 'Ir3 Au1 C1'
_cell_length_a 4.8846
_cell_length_b 4.8846
_cell_length_c 4.8846
_cell_angle_alpha 90.00
_cell_angle_beta 90.00
_cell_angle_gamma 90.00
_space_group_name_H-M_alt 'P 1'
_space_group_IT_number 1
_space_group_name_Hall 'P 1'
loop_
_atom_site_label
_atom_site_type_symbol
_atom_site_fract_x
_atom_site_fract_y
_atom_site_fract_z
_atom_site_occupancy
Ir1 Ir 0.0000 0.0000 0.5000 1
Ir2 Ir 0.0000 0.5000 0.0000 1
Ir3 Ir 0.5000 0.0000 0.0000 1
Au1 Au 0.0000 0.0000 0.0000 1
C1 C 0.5000 0.5000 0.5000 1
```

* formation energy: 3.709 eV/atom
* total moment: 3.54 μB/f.u.
* offset from the most stable computed form: 3142 meV per atom
* SG: Pm-3m (221)
* Fermi-level density of states: 10.87 states/eV/cell


No. 10
Computed, not measured: an optimized crystal structure of Ir2AuC at the PBE-GGA level of DFT.

Cell and atoms, written as CIF:
```
data_Ir2AuC
_chemical_formula_sum 'Ir4 Au2 C2'
_cell_length_a 5.3383
_cell_length_b 5.3383
_cell_length_c 5.3383
_cell_angle_alpha 106.98
_cell_angle_beta 106.98
_cell_angle_gamma 114.58
_space_group_name_H-M_alt 'P 1'
_space_group_IT_number 1
_space_group_name_Hall 'P 1'
loop_
_atom_site_label
_atom_site_type_symbol
_atom_site_fract_x
_atom_site_fract_y
_atom_site_fract_z
_atom_site_occupancy
Ir1 Ir 0.0206 0.6250 0.8956 1
Ir2 Ir 0.3750 0.2706 0.3956 1
Ir3 Ir 0.7294 0.1250 0.1044 1
Ir4 Ir 0.8750 0.9794 0.6044 1
Au1 Au 0.2500 0.7500 0.5000 1
Au2 Au 0.5000 0.5000 0.0000 1
C1 C 0.0000 0.0000 0.0000 1
C2 C 0.7500 0.2500 0.5000 1
```

* formation energy: 0.558 eV/atom
* total moment: 0.00 μB/f.u.
* SG: I-42d (122)
* Fermi-level density of states: 5.03 states/eV/cell